VASP calculation (PBE+U) on an optimized crystal structure of Ac2MnSbO6.

extended XYZ file:
```
10
Lattice="4.928 0.000 0.000 0.000 5.707 0.000 0.000 0.000 5.707" Properties=species:S:1:pos:R:3 pbc="T T T"
Ac 0.145 2.853 0.000
Ac 0.145 0.000 2.853
Mn 2.874 2.853 2.853
Sb 2.929 0.000 0.000
O 3.534 1.412 1.412
O 3.534 1.412 4.295
O 0.827 2.853 2.853
O 0.860 0.000 0.000
O 3.534 4.295 4.295
O 3.534 4.295 1.412
```

## Properties
calculated volume	16.1	Å³ per atom
ρ	7.518	g/cm³
M_tot	0.450	μB per atom
electronic total energy	-7.26	eV/atom
space group	P4mm, No. 99
crystal system	tetragonal